This record from the Alexandria database describes a geometry-optimized HfAgB structure. The functional is PBE-GGA.

a b c (Å): 3.3946 5.8150 4.7973
angles (deg): 90.00 90.00 90.02
Closest atoms and distances in Å follow each position.
Positions (direct):
Hf 0.1307 0.2964 0.9291  4 B 2.35
Hf 0.1310 0.6841 0.4291  4 B 2.45
Ag 0.6305 0.1851 0.4292  2 B 2.52
Ag 0.6306 0.8942 0.9292  2 B 2.29
B 0.6309 0.5306 0.1125  1 B 1.76
B 0.6309 0.5306 0.7458  1 B 1.76

Output
- ΔE_f (eV per formula unit) = -0.15
- ΔE to the lowest computed polymorph (meV/atom) = 447
- calculated density (g cm⁻³) = 10.422